1.
A geometry-optimized BiSeCl2 structure. Source: Alexandria, functional PBE-GGA.

* formation energy without anion corrections: 0.054 eV/atom
* energy: -10.84 eV/cell

Unit cell a=5.0790 b=5.0790 c=5.0790 alpha=60.00 beta=60.00 gamma=60.00
With the nearest neighbours (Å) after each atom.
Sites, in units of the cell vectors:
Bi: 0.5000 0.5000 0.5000  8 Cl 3.11
Se: 0.0000 0.0000 0.0000  8 Cl 3.11
Cl: 0.2500 0.2500 0.2500  4 Se 3.11, 4 Bi 3.11
Cl: 0.7500 0.7500 0.7500  4 Se 3.11, 4 Bi 3.11



2.
A geometry-optimized BiSe6Cl12 structure. Source: Alexandria, functional PBE-GGA.

* formation energy without anion corrections: -0.277 eV/atom
* energy: -52.22 eV/cell

Unit cell a=12.8942 b=12.8942 c=12.8942 alpha=36.77 beta=36.77 gamma=36.77
With the nearest neighbours (Å) after each atom.
Sites, in units of the cell vectors:
Bi: 0.0000 0.0000 0.0000  6 Cl 2.74
Se: 0.1144 0.1848 0.4557  1 Cl 2.25
Se: 0.8152 0.5443 0.8856  1 Cl 2.25
Se: 0.5443 0.8856 0.8152  1 Cl 2.25
Se: 0.8856 0.8152 0.5443  1 Cl 2.25
Se: 0.1848 0.4557 0.1144  1 Cl 2.25
Se: 0.4557 0.1144 0.1848  1 Cl 2.25
Cl: 0.5027 0.1202 0.7756  1 Se 2.25
Cl: 0.1202 0.7756 0.5027  1 Se 2.25
Cl: 0.7756 0.5027 0.1202  1 Se 2.25
Cl: 0.4973 0.8798 0.2244  1 Se 2.25
Cl: 0.8798 0.2244 0.4973  1 Se 2.25
Cl: 0.2244 0.4973 0.8798  1 Se 2.25
Cl: 0.2586 0.8908 0.7197  1 Bi 2.74, 1 Se 2.75
Cl: 0.2803 0.7414 0.1092  1 Bi 2.74, 1 Se 2.75
Cl: 0.1092 0.2803 0.7414  1 Bi 2.74, 1 Se 2.75
Cl: 0.7414 0.1092 0.2803  1 Bi 2.74, 1 Se 2.75
Cl: 0.7197 0.2586 0.8908  1 Bi 2.74, 1 Se 2.75
Cl: 0.8908 0.7197 0.2586  1 Bi 2.74, 1 Se 2.75



3.
A geometry-optimized SiBiSe2Cl structure. Source: Alexandria, functional PBE-GGA.

* formation energy without anion corrections: 0.191 eV/atom
* energy: -17.16 eV/cell

Unit cell a=4.7226 b=5.7892 c=4.7226 alpha=90.00 beta=90.00 gamma=90.00
With the nearest neighbours (Å) after each atom.
Sites, in units of the cell vectors:
Si: 0.0000 0.0000 0.0000  4 Se 2.36
Bi: 0.0000 0.5000 0.0000  2 Si 2.89
Se: 0.0000 0.0000 0.5000  2 Si 2.36
Se: 0.5000 0.0000 0.0000  2 Si 2.36
Cl: 0.5000 0.5000 0.5000  4 Bi 3.34, 8 Se 3.74



4.
A geometry-optimized SnBiSeCl2 structure. Source: Alexandria, functional PBE-GGA.

* formation energy without anion corrections: -0.202 eV/atom
* energy: -16.07 eV/cell

Unit cell a=5.3428 b=5.8315 c=5.3428 alpha=90.00 beta=90.00 gamma=90.00
With the nearest neighbours (Å) after each atom.
Sites, in units of the cell vectors:
Cl: 0.0000 0.0000 0.5000  2 Bi 2.67
Cl: 0.5000 0.0000 0.0000  2 Bi 2.67
Bi: 0.0000 0.0000 0.0000  4 Cl 2.67, 2 Se 2.92
Se: 0.0000 0.5000 0.0000  2 Bi 2.92
Sn: 0.5000 0.5000 0.5000  4 Se 3.78, 8 Cl 3.95



5.
A geometry-optimized SnBiSe2Cl structure. Source: Alexandria, functional PBE-GGA.

* formation energy without anion corrections: -0.532 eV/atom
* energy: -38.72 eV/cell

Unit cell a=4.1306 b=8.0234 c=11.8287 alpha=117.31 beta=90.00 gamma=90.00
With the nearest neighbours (Å) after each atom.
Sites, in units of the cell vectors:
Sn: 0.2500 0.3120 0.5464  3 Se 2.77-2.89
Sn: 0.7500 0.6880 0.4536  3 Se 2.77-2.89
Bi: 0.2500 0.3085 0.0455  3 Se 2.84-2.88, 2 Cl 2.89
Bi: 0.7500 0.6915 0.9545  3 Se 2.84-2.88, 2 Cl 2.89
Se: 0.7500 0.5675 0.6489  3 Sn 2.77-2.89
Se: 0.2500 0.4325 0.3511  3 Sn 2.77-2.89
Se: 0.7500 0.5870 0.1534  3 Bi 2.84-2.88
Se: 0.2500 0.4130 0.8466  3 Bi 2.84-2.88
Cl: 0.2500 0.9448 0.1096  2 Bi 2.89
Cl: 0.7500 0.0552 0.8904  2 Bi 2.89



6.
A geometry-optimized Sr4BiSe2Cl structure. Source: Alexandria, functional PBE-GGA.

* formation energy without anion corrections: -1.743 eV/atom
* energy: -33.36 eV/cell

Unit cell a=6.4528 b=6.4528 c=7.9010 alpha=114.10 beta=114.10 gamma=90.00
With the nearest neighbours (Å) after each atom.
Sites, in units of the cell vectors:
Sr: 0.9373 0.4372 0.0000  2 Cl 3.22-3.23, 2 Se 3.23, 2 Bi 3.23
Sr: 0.4372 0.9373 0.0000  2 Cl 3.22-3.23, 2 Se 3.23, 2 Bi 3.23
Sr: 0.1877 0.1877 0.5018  1 Cl 3.21, 4 Se 3.22-3.23, 1 Bi 3.24
Sr: 0.6859 0.6859 0.4982  1 Cl 3.21, 4 Se 3.22-3.23, 1 Bi 3.24
Bi: 0.9372 0.9372 0.0000  6 Sr 3.23-3.24
Se: 0.1871 0.6871 0.5000  6 Sr 3.22-3.23
Se: 0.6871 0.1871 0.5000  6 Sr 3.22-3.23
Cl: 0.4378 0.4378 0.0000  6 Sr 3.21-3.23



7.
A geometry-optimized BiTeSe2Cl structure. Source: Alexandria, functional PBE-GGA.

* formation energy without anion corrections: 0.677 eV/atom
* energy: -12.45 eV/cell

Unit cell a=5.0245 b=5.6420 c=5.0245 alpha=90.00 beta=90.00 gamma=90.00
With the nearest neighbours (Å) after each atom.
Sites, in units of the cell vectors:
Te: 0.5000 0.5000 0.5000  4 Bi 3.55, 8 Se 3.78
Bi: 0.0000 0.5000 0.0000  2 Cl 2.82
Se: 0.0000 0.0000 0.5000  2 Cl 2.51
Se: 0.5000 0.0000 0.0000  2 Cl 2.51
Cl: 0.0000 0.0000 0.0000  4 Se 2.51



8.
A geometry-optimized Y2BiSeCl structure. Source: Alexandria, functional PBE-GGA.

* formation energy without anion corrections: -0.380 eV/atom
* energy: -24.04 eV/cell

Unit cell a=5.4712 b=5.5301 c=5.4712 alpha=90.00 beta=90.00 gamma=90.00
With the nearest neighbours (Å) after each atom.
Sites, in units of the cell vectors:
Y: 0.0000 0.0000 0.5000  2 Se 2.74
Y: 0.5000 0.0000 0.0000  2 Se 2.74
Bi: 0.0000 0.5000 0.0000  2 Se 2.77
Se: 0.0000 0.0000 0.0000  4 Y 2.74, 2 Bi 2.77
Cl: 0.5000 0.5000 0.5000  4 Bi 3.87, 8 Y 3.89



What did the fifth record say?
A geometry-optimized SnBiSe2Cl structure. Source: Alexandria, functional PBE-GGA.

* formation energy without anion corrections: -0.532 eV/atom
* energy: -38.72 eV/cell

Unit cell a=4.1306 b=8.0234 c=11.8287 alpha=117.31 beta=90.00 gamma=90.00
With the nearest neighbours (Å) after each atom.
Sites, in units of the cell vectors:
Sn: 0.2500 0.3120 0.5464  3 Se 2.77-2.89
Sn: 0.7500 0.6880 0.4536  3 Se 2.77-2.89
Bi: 0.2500 0.3085 0.0455  3 Se 2.84-2.88, 2 Cl 2.89
Bi: 0.7500 0.6915 0.9545  3 Se 2.84-2.88, 2 Cl 2.89
Se: 0.7500 0.5675 0.6489  3 Sn 2.77-2.89
Se: 0.2500 0.4325 0.3511  3 Sn 2.77-2.89
Se: 0.7500 0.5870 0.1534  3 Bi 2.84-2.88
Se: 0.2500 0.4130 0.8466  3 Bi 2.84-2.88
Cl: 0.2500 0.9448 0.1096  2 Bi 2.89
Cl: 0.7500 0.0552 0.8904  2 Bi 2.89



Q: Number 6 is which compound?
A: Sr4BiSe2Cl



Q: Look up the energy of the first one.
A: -10.84 eV/cell



Q: What is the formation energy without anion corrections in the second record?
A: -0.277 eV/atom